No. 1
Material: Nd3ThAl8
Method: DFT, PBE-GGA
State: optimized geometry Values from VASP.

ΔH_f (0 K): -554 kJ/mol of formula units
energy: -57.41 eV for the cell shown
E above lowest polymorph: 0 meV/atom

```
&SYSTEM
  ibrav = 0, nat = 12, ntyp = 3
/
ATOMIC_SPECIES
Nd 144.24 Nd.upf
Th 232.04 Th.upf
Al 26.98 Al.upf
CELL_PARAMETERS angstrom
2.850 1.645 9.260
-2.850 1.645 9.260
0.000 -3.290 9.260
ATOMIC_POSITIONS angstrom
Nd 0.000 0.000 0.000
Nd 0.000 0.000 3.487
Nd 0.000 0.000 13.873
Th 0.000 0.000 17.358
Al -1.428 -0.825 10.991
Al 0.000 -1.644 6.373
Al -1.423 0.822 6.373
Al 0.000 0.000 8.685
Al 1.423 0.822 6.373
Al 1.428 -0.825 10.991
Al 0.000 1.649 10.991
Al 0.000 0.000 22.561
```



No. 2
Material: Cu2RuCl
Method: DFT, PBE-GGA
State: optimized geometry Values from VASP.

energy: -16.35 eV for the cell shown
energy relative to the elements, uncorrected: 0.7423 eV/atom
E above lowest polymorph: 427 meV/atom

```
&SYSTEM
  ibrav = 0, nat = 4, ntyp = 3
/
ATOMIC_SPECIES
Cu 63.55 Cu.upf
Ru 101.07 Ru.upf
Cl 35.45 Cl.upf
CELL_PARAMETERS angstrom
-1.790 1.790 4.469
1.790 -1.790 4.469
1.790 1.790 -4.469
ATOMIC_POSITIONS angstrom
Cu 1.790 0.000 2.235
Cu 0.000 1.790 2.235
Ru 0.000 0.000 0.000
Cl 0.000 0.000 4.469
```



Copy entry 1 word for word.
Material: Nd3ThAl8
Method: DFT, PBE-GGA
State: optimized geometry Values from VASP.

ΔH_f (0 K): -554 kJ/mol of formula units
energy: -57.41 eV for the cell shown
E above lowest polymorph: 0 meV/atom

```
&SYSTEM
  ibrav = 0, nat = 12, ntyp = 3
/
ATOMIC_SPECIES
Nd 144.24 Nd.upf
Th 232.04 Th.upf
Al 26.98 Al.upf
CELL_PARAMETERS angstrom
2.850 1.645 9.260
-2.850 1.645 9.260
0.000 -3.290 9.260
ATOMIC_POSITIONS angstrom
Nd 0.000 0.000 0.000
Nd 0.000 0.000 3.487
Nd 0.000 0.000 13.873
Th 0.000 0.000 17.358
Al -1.428 -0.825 10.991
Al 0.000 -1.644 6.373
Al -1.423 0.822 6.373
Al 0.000 0.000 8.685
Al 1.423 0.822 6.373
Al 1.428 -0.825 10.991
Al 0.000 1.649 10.991
Al 0.000 0.000 22.561
```